No. 1
Density functional theory data (PBE-GGA) for an optimized crystal structure of LuMgCuAg.

The structure in extended XYZ format:
```
4
Lattice="4.776 0.000 0.000 2.388 4.136 0.000 2.388 1.379 3.900" Properties=species:S:1:pos:R:3 pbc="T T T"
Cu 2.388 1.379 0.975
Mg 4.776 2.757 1.950
Lu 0.000 0.000 0.000
Ag 7.164 4.136 2.925
```

Properties
The energy of formation from the pure elements comes out at -0.228 eV/atom. Its space-group type is No. 216.

***

No. 2
Density functional theory data (PBE-GGA) for an optimized crystal structure of LuCuNiAg.

The structure in extended XYZ format:
```
4
Lattice="-0.065 -2.106 -4.007 -1.475 -4.270 -0.289 -3.950 -0.898 -2.021" Properties=species:S:1:pos:R:3 pbc="T T T"
Ni -4.118 -5.456 -4.738
Lu -2.745 -3.637 -3.159
Ag 0.000 0.000 0.000
Cu -1.373 -1.819 -1.579
```

Properties
The energy of formation from the pure elements comes out at -0.187 eV/atom. Its space-group type is No. 216.

***

No. 3
Density functional theory data (PBE-GGA) for an optimized crystal structure of LuCuAgPb.

The structure in extended XYZ format:
```
4
Lattice="-2.406 1.211 -4.090 -4.677 -1.333 -0.575 -3.545 3.376 0.153" Properties=species:S:1:pos:R:3 pbc="T T T"
Cu -5.314 1.627 -2.256
Pb -2.657 0.813 -1.128
Ag 0.000 0.000 0.000
Lu -7.971 2.440 -3.384
```

Properties
The energy of formation from the pure elements comes out at -0.141 eV/atom. Its space-group type is No. 216.

***

No. 4
Density functional theory data (PBE-GGA) for an optimized crystal structure of LuCuAgPd.

The structure in extended XYZ format:
```
4
Lattice="-0.002 3.620 2.917 -3.736 0.866 2.627 0.170 -0.714 4.590" Properties=species:S:1:pos:R:3 pbc="T T T"
Ag -1.784 1.886 5.067
Pd -2.675 2.829 7.601
Lu 0.000 0.000 0.000
Cu -0.892 0.943 2.534
```

Properties
The energy of formation from the pure elements comes out at -0.412 eV/atom. Its space-group type is No. 216.

***

Number 1: calculated volume 77 Å³/f.u.. Number 2: calculated volume 66 Å³/f.u.. Number 3: calculated volume 83 Å³/f.u.. Number 4: calculated volume 71 Å³/f.u..